# Np2In2Te7 (PBE, optimized geometry)
# - spin magnetization (μB per atom) = 0.55
# - raw formation energy (meV per atom) = -289
# - VASP energy (eV/cell) = -113.060
data_Np2In2Te7
_cell_length_a 7.9095
_cell_length_b 13.2582
_cell_length_c 8.8897
_cell_angle_alpha 90.00
_cell_angle_beta 108.24
_cell_angle_gamma 90.00
_symmetry_space_group_name_H-M 'C 1 2/m 1'
_symmetry_Int_Tables_number 12
loop_
_symmetry_equiv_pos_as_xyz
'x,y,z'
'-x,-y,-z'
'-x,y,-z'
'x,-y,z'
'x+1/2,y+1/2,z'
'-x+1/2,-y+1/2,-z'
'-x+1/2,y+1/2,-z'
'x+1/2,-y+1/2,z'
loop_
_atom_site_label
_atom_site_fract_x
_atom_site_fract_y
_atom_site_fract_z
Np1 0.0000 0.1740 0.0000
In1 0.1793 0.0000 0.6129
Te1 0.0000 0.5000 0.5000
Te2 0.1989 0.0000 0.1963
Te3 0.2272 0.1892 0.7826